! Zr2ZnRe (PBE, optimized geometry); values from VASP
&SYSTEM
  ibrav = 0, nat = 4, ntyp = 3
/
ATOMIC_SPECIES
Zr 91.22 Zr.upf
Zn 65.41 Zn.upf
Re 186.21 Re.upf
ATOMIC_POSITIONS crystal
Zr 0.000 0.000 0.000
Zr 0.250 0.250 0.250
Zn 0.750 0.750 0.750
Re 0.500 0.500 0.500
CELL_PARAMETERS angstrom
0.000 3.296 3.296
3.296 0.000 3.296
3.296 3.296 0.000
! * mass density: 10.07 g/cm3
! * raw total energy: -30.56 eV for the cell shown